1.
DFT (GGA-PBE) results for an optimized crystal structure of KScSb2Te.

Summary:
Space-group type = P4/mmm (123)
E_form (uncorrected) = -36.4 kJ per mole of atoms
Calculated volume = 35.33 Å³/atom
Relative energy among the computed polymorphs = 0 meV per atom
Calculated total energy = -4.1404 eV per atom
Total moment = 0.00 Bohr magnetons per cell

abc: 5.5585 5.5585 5.7173
angles: 90.00 90.00 90.00
Fractional positions:
Sc: 0.0000 0.0000 0.0000
Sb: 0.0000 0.5000 0.0000
Sb: 0.5000 0.0000 0.0000
K: 0.5000 0.5000 0.5000
Te: 0.0000 0.0000 0.5000


2.
DFT (GGA-PBE) results for an optimized crystal structure of LiAl4In.

Summary:
Space-group type = F-43m (216)
Calculated volume = 19.46 Å³/atom
Calculated total energy = -3.2130 eV per atom
Calculated formation energy = 0.06 eV per atom
Total moment = 0.00 Bohr magnetons per cell

abc: 5.4862 5.4862 5.4862
angles: 60.00 60.00 60.00
Fractional positions:
Li: 0.0000 0.0000 0.0000
Al: 0.8773 0.3742 0.3742
Al: 0.3742 0.3742 0.8773
Al: 0.3742 0.8773 0.3742
Al: 0.3742 0.3742 0.3742
In: 0.7500 0.7500 0.7500


3.
DFT (GGA-PBE) results for an optimized crystal structure of SrSmCu2Si2.

Summary:
Space-group type = P-3m1 (164)
E_form (uncorrected) = -48.3 kJ per mole of atoms
Calculated volume = 21.33 Å³/atom
Calculated total energy = -4.7408 eV per atom
Total moment = 0.00 Bohr magnetons per cell

abc: 4.1477 4.1477 8.5895
angles: 90.00 90.00 120.00
Fractional positions:
Sr: 0.0000 0.0000 0.0000
Sm: 0.0000 0.0000 0.5000
Cu: 0.3333 0.6667 0.7323
Cu: 0.6667 0.3333 0.2677
Si: 0.3333 0.6667 0.2694
Si: 0.6667 0.3333 0.7306


4.
DFT (GGA-PBE) results for an optimized crystal structure of BaMnAu2S.

Summary:
Space-group type = P4/mmm (123)
E_form (uncorrected) = -51.8 kJ per mole of atoms
Calculated volume = 25.01 Å³/atom
Relative energy among the computed polymorphs = 0 meV per atom
Calculated total energy = -4.8918 eV per atom
Total moment = 4.00 Bohr magnetons per cell

abc: 5.1259 4.7584 5.1259
angles: 90.00 90.00 90.00
Last column: magnetic moment on the atom in μB.
Fractional positions:
S: 0.0000 0.5000 0.0000  0.04
Mn: 0.0000 0.0000 0.0000  3.56
Au: 0.0000 0.0000 0.5000  0.09
Au: 0.5000 0.0000 0.0000  0.06
Ba: 0.5000 0.5000 0.5000  0.00


5.
DFT (GGA-PBE) results for an optimized crystal structure of HoMgBiPb.

Summary:
Space-group type = F-43m (216)
Calculated volume = 27.88 Å³/atom
Calculated total energy = -3.6625 eV per atom
Calculated formation energy = -0.22 eV per atom
Total moment = 0.00 Bohr magnetons per cell

abc: 5.4026 5.4026 5.4026
angles: 60.00 60.00 60.00
Fractional positions:
Pb: 0.2500 0.2500 0.2500
Mg: 0.0000 0.0000 0.0000
Bi: 0.7500 0.7500 0.7500
Ho: 0.5000 0.5000 0.5000


6.
DFT (GGA-PBE) results for an optimized crystal structure of CsZnSbH2.

Summary:
Space-group type = P1 (1)
Calculated volume = 29.59 Å³/atom
Relative energy among the computed polymorphs = 274 meV per atom
Calculated total energy = -2.5103 eV per atom
Total moment = 0.00 Bohr magnetons per cell

abc: 5.4329 5.5885 5.5683
angles: 90.30 89.99 118.92
Fractional positions:
Cs: 0.7824 0.1463 0.8116
Zn: 0.1107 0.8061 0.2543
Sb: 0.4649 0.5111 0.3001
H: 0.5524 0.2414 0.3261
H: 0.1091 0.2406 0.3269